# 1
# LiSmIn4Pd2, relaxed, DFT PBE-GGA
# D(E_F) (states/eV per cell): 10.5
# Calculated formation energy (eV per atom): -0.49
# Magnetization (μB per formula unit): 0.00
data_LiSmIn4Pd2
_chemical_formula_sum 'Li3 Sm3 In12 Pd6'
_symmetry_space_group_name_H-M 'R -3 m'
_symmetry_Int_Tables_number 166
_symmetry_space_group_name_Hall '-R 3 2"'
_cell_length_a 4.6243
_cell_length_b 4.6243
_cell_length_c 27.1805
_cell_angle_alpha 90.00
_cell_angle_beta 90.00
_cell_angle_gamma 120.00
loop_
_atom_site_label
_atom_site_fract_x
_atom_site_fract_y
_atom_site_fract_z
Li1 0.0000 0.0000 0.0000
Sm1 0.0000 0.0000 0.5000
In1 0.0000 0.0000 0.1044
In2 0.0000 0.0000 0.3705
Pd1 0.0000 0.0000 0.2644


# 2
# VTeH, relaxed, DFT PBE-GGA
# D(E_F) (states/eV per cell): 10.1
# E_tot (eV per cell): -128.85
# Magnetization (μB per formula unit): 0.00
data_VTeH
_chemical_formula_sum 'V8 Te8 H8'
_symmetry_space_group_name_H-M 'C m c e'
_symmetry_Int_Tables_number 64
_symmetry_space_group_name_Hall '-C 2ac 2'
_cell_length_a 5.274
_cell_length_b 14.232
_cell_length_c 5.481
_cell_angle_alpha 90.00
_cell_angle_beta 90.00
_cell_angle_gamma 90.00
loop_
_atom_site_label
_atom_site_fract_x
_atom_site_fract_y
_atom_site_fract_z
V1 0.250 0.006 0.250
Te1 0.000 0.139 0.524
H1 0.000 0.060 0.072